# Sc2FeRh

Sc2FeRh at its PBEsol-relaxed geometry (meta-GGA SCAN, Alexandria).

Structure (CIF):
```
data_Sc2FeRh
_chemical_formula_sum 'Sc2 Fe1 Rh1'
_space_group_name_H-M_alt 'P 4/m m m'
_space_group_IT_number 123
_space_group_name_Hall '-P 4 2'
_cell_length_a 3.121
_cell_length_b 3.121
_cell_length_c 6.285
_cell_angle_alpha 90.00
_cell_angle_beta 90.00
_cell_angle_gamma 90.00
loop_
_atom_site_label
_atom_site_fract_x
_atom_site_fract_y
_atom_site_fract_z
_atom_site_occupancy
Sc1 0.000 0.000 0.239 1
Fe1 0.500 0.500 0.000 1
Rh1 0.500 0.500 0.500 1
```

E_form   -53.0 kJ/mol of atoms
Magnetic moment   0.001 μB per atom

# ScFeRh

ScFeRh at its PBEsol-relaxed geometry (meta-GGA SCAN, Alexandria).

Structure (CIF):
```
data_ScFeRh
_chemical_formula_sum 'Sc4 Fe4 Rh4'
_space_group_name_H-M_alt 'F -4 3 m'
_space_group_IT_number 216
_space_group_name_Hall 'F -4 2 3'
_cell_length_a 5.816
_cell_length_b 5.816
_cell_length_c 5.816
_cell_angle_alpha 90.00
_cell_angle_beta 90.00
_cell_angle_gamma 90.00
loop_
_atom_site_label
_atom_site_fract_x
_atom_site_fract_y
_atom_site_fract_z
_atom_site_occupancy
Sc1 0.000 0.000 0.000 1
Fe1 0.250 0.250 0.750 1
Rh1 0.000 0.000 0.500 1
```

E_form   -5.6 kJ/mol of atoms
Magnetic moment   0.977 μB per atom

# Sc2FeRh

Sc2FeRh at its PBEsol-relaxed geometry (meta-GGA SCAN, Alexandria).

Structure (CIF):
```
data_Sc2FeRh
_chemical_formula_sum 'Sc2 Fe1 Rh1'
_space_group_name_H-M_alt 'P 4 m m'
_space_group_IT_number 99
_cell_length_a 2.990
_cell_length_b 2.990
_cell_length_c 7.798
_cell_angle_alpha 90.00
_cell_angle_beta 90.00
_cell_angle_gamma 90.00
loop_
_space_group_symop_operation_xyz
'x,y,z'
'-y,x,z'
'-x,-y,z'
'y,-x,z'
'-x,y,z'
'y,x,z'
'x,-y,z'
'-y,-x,z'
loop_
_atom_site_label
_atom_site_fract_x
_atom_site_fract_y
_atom_site_fract_z
_atom_site_occupancy
Sc1 0.000 0.000 0.000 1
Sc2 0.500 0.500 0.368 1
Fe1 0.000 0.000 0.592 1
Rh1 0.500 0.500 0.781 1
```

E_form   -30.9 kJ/mol of atoms
Magnetic moment   0.718 μB per atom

# Sc2FeRh

Sc2FeRh at its PBEsol-relaxed geometry (meta-GGA SCAN, Alexandria).

Structure (CIF):
```
data_Sc2FeRh
_chemical_formula_sum 'Sc2 Fe1 Rh1'
_space_group_name_H-M_alt 'P 4 m m'
_space_group_IT_number 99
_cell_length_a 3.380
_cell_length_b 3.380
_cell_length_c 5.867
_cell_angle_alpha 90.00
_cell_angle_beta 90.00
_cell_angle_gamma 90.00
loop_
_space_group_symop_operation_xyz
'x,y,z'
'-y,x,z'
'-x,-y,z'
'y,-x,z'
'-x,y,z'
'y,x,z'
'x,-y,z'
'-y,-x,z'
loop_
_atom_site_label
_atom_site_fract_x
_atom_site_fract_y
_atom_site_fract_z
_atom_site_occupancy
Sc1 0.000 0.000 0.000 1
Sc2 0.500 0.500 0.356 1
Fe1 0.000 0.000 0.533 1
Rh1 0.500 0.500 0.812 1
```

E_form   -19.6 kJ/mol of atoms
Magnetic moment   0.456 μB per atom

# Sc3FeRh

Sc3FeRh at its PBEsol-relaxed geometry (meta-GGA SCAN, Alexandria).

Structure (CIF):
```
data_Sc3FeRh
_chemical_formula_sum 'Sc3 Fe1 Rh1'
_space_group_name_H-M_alt 'P m -3 m'
_space_group_IT_number 221
_space_group_name_Hall '-P 4 2 3'
_cell_length_a 4.592
_cell_length_b 4.592
_cell_length_c 4.592
_cell_angle_alpha 90.00
_cell_angle_beta 90.00
_cell_angle_gamma 90.00
loop_
_atom_site_label
_atom_site_fract_x
_atom_site_fract_y
_atom_site_fract_z
_atom_site_occupancy
Sc1 0.000 0.000 0.500 1
Fe1 0.000 0.000 0.000 1
Rh1 0.500 0.500 0.500 1
```

E_form   11.4 kJ/mol of atoms
Magnetic moment   0.000 μB per atom

# Fe2SiRh

Fe2SiRh at its PBEsol-relaxed geometry (meta-GGA SCAN, Alexandria).

Structure (CIF):
```
data_Fe2SiRh
_chemical_formula_sum 'Fe2 Si1 Rh1'
_space_group_name_H-M_alt 'P 4/m m m'
_space_group_IT_number 123
_space_group_name_Hall '-P 4 2'
_cell_length_a 3.499
_cell_length_b 3.499
_cell_length_c 3.877
_cell_angle_alpha 90.00
_cell_angle_beta 90.00
_cell_angle_gamma 90.00
loop_
_atom_site_label
_atom_site_fract_x
_atom_site_fract_y
_atom_site_fract_z
_atom_site_occupancy
Fe1 0.000 0.500 0.000 1
Si1 0.000 0.000 0.500 1
Rh1 0.500 0.500 0.500 1
```

ΔE_f (raw)   -1.71 eV/f.u.
Magnetic moment   1.327 μB per atom

# Fe2SiRh

Fe2SiRh at its PBEsol-relaxed geometry (meta-GGA SCAN, Alexandria).

Structure (CIF):
```
data_Fe2SiRh
_chemical_formula_sum 'Fe2 Si1 Rh1'
_space_group_name_H-M_alt 'P 4/m m m'
_space_group_IT_number 123
_space_group_name_Hall '-P 4 2'
_cell_length_a 2.659
_cell_length_b 2.659
_cell_length_c 6.230
_cell_angle_alpha 90.00
_cell_angle_beta 90.00
_cell_angle_gamma 90.00
loop_
_atom_site_label
_atom_site_fract_x
_atom_site_fract_y
_atom_site_fract_z
_atom_site_occupancy
Fe1 0.000 0.000 0.219 1
Si1 0.500 0.500 0.000 1
Rh1 0.500 0.500 0.500 1
```

ΔE_f (raw)   -0.14 eV/f.u.
Magnetic moment   0.000 μB per atom

# Fe2SiRh

Fe2SiRh at its PBEsol-relaxed geometry (meta-GGA SCAN, Alexandria).

Structure (CIF):
```
data_Fe2SiRh
_chemical_formula_sum 'Fe4 Si2 Rh2'
_space_group_name_H-M_alt 'I m m m'
_space_group_IT_number 71
_space_group_name_Hall '-I 2 2'
_cell_length_a 2.770
_cell_length_b 4.029
_cell_length_c 8.329
_cell_angle_alpha 90.00
_cell_angle_beta 90.00
_cell_angle_gamma 90.00
loop_
_atom_site_label
_atom_site_fract_x
_atom_site_fract_y
_atom_site_fract_z
_atom_site_occupancy
Fe1 0.000 0.000 0.236 1
Si1 0.000 0.500 0.500 1
Rh1 0.000 0.500 0.000 1
```

ΔE_f (raw)   -1.73 eV/f.u.
Magnetic moment   1.299 μB per atom

# Fe2SiRh

Fe2SiRh at its PBEsol-relaxed geometry (meta-GGA SCAN, Alexandria).

Structure (CIF):
```
data_Fe2SiRh
_chemical_formula_sum 'Fe6 Si3 Rh3'
_space_group_name_H-M_alt 'R 3 m'
_space_group_IT_number 160
_space_group_name_Hall 'R 3 -2"'
_cell_length_a 2.6581
_cell_length_b 2.6581
_cell_length_c 23.1783
_cell_angle_alpha 90.00
_cell_angle_beta 90.00
_cell_angle_gamma 120.00
loop_
_atom_site_label
_atom_site_fract_x
_atom_site_fract_y
_atom_site_fract_z
_atom_site_occupancy
Fe1 0.0000 0.0000 0.0000 1
Fe2 0.0000 0.0000 0.2515 1
Si1 0.0000 0.0000 0.5086 1
Rh1 0.0000 0.0000 0.7587 1
```

ΔE_f (raw)   -0.59 eV/f.u.
Magnetic moment   1.180 μB per atom

# FeSi2Rh

FeSi2Rh at its PBEsol-relaxed geometry (meta-GGA SCAN, Alexandria).

Structure (CIF):
```
data_FeSi2Rh
_chemical_formula_sum 'Fe2 Si4 Rh2'
_space_group_name_H-M_alt 'I 4/m m m'
_space_group_IT_number 139
_space_group_name_Hall '-I 4 2'
_cell_length_a 3.897
_cell_length_b 3.897
_cell_length_c 6.104
_cell_angle_alpha 90.00
_cell_angle_beta 90.00
_cell_angle_gamma 90.00
loop_
_atom_site_label
_atom_site_fract_x
_atom_site_fract_y
_atom_site_fract_z
_atom_site_occupancy
Fe1 0.000 0.000 0.000 1
Si1 0.000 0.500 0.250 1
Rh1 0.000 0.000 0.500 1
```

ΔE_f (raw)   -1.79 eV/f.u.
Magnetic moment   0.000 μB per atom

# Fe2SiRh

Fe2SiRh at its PBEsol-relaxed geometry (meta-GGA SCAN, Alexandria).

Structure (CIF):
```
data_Fe2SiRh
_chemical_formula_sum 'Fe6 Si3 Rh3'
_space_group_name_H-M_alt 'R -3 m'
_space_group_IT_number 166
_space_group_name_Hall '-R 3 2"'
_cell_length_a 2.5841
_cell_length_b 2.5841
_cell_length_c 23.3745
_cell_angle_alpha 90.00
_cell_angle_beta 90.00
_cell_angle_gamma 120.00
loop_
_atom_site_label
_atom_site_fract_x
_atom_site_fract_y
_atom_site_fract_z
_atom_site_occupancy
Fe1 0.0000 0.0000 0.2449 1
Si1 0.0000 0.0000 0.5000 1
Rh1 0.0000 0.0000 0.0000 1
```

ΔE_f (raw)   -0.14 eV/f.u.
Magnetic moment   1.206 μB per atom

# Fe2SiRh

Fe2SiRh at its PBEsol-relaxed geometry (meta-GGA SCAN, Alexandria).

Structure (CIF):
```
data_Fe2SiRh
_chemical_formula_sum 'Fe2 Si1 Rh1'
_space_group_name_H-M_alt 'P 4 m m'
_space_group_IT_number 99
_cell_length_a 2.856
_cell_length_b 2.856
_cell_length_c 5.694
_cell_angle_alpha 90.00
_cell_angle_beta 90.00
_cell_angle_gamma 90.00
loop_
_space_group_symop_operation_xyz
'x,y,z'
'-y,x,z'
'-x,-y,z'
'y,-x,z'
'-x,y,z'
'y,x,z'
'x,-y,z'
'-y,-x,z'
loop_
_atom_site_label
_atom_site_fract_x
_atom_site_fract_y
_atom_site_fract_z
_atom_site_occupancy
Fe1 0.000 0.000 0.000 1
Fe2 0.500 0.500 0.231 1
Si1 0.500 0.500 0.776 1
Rh1 0.000 0.000 0.523 1
```

ΔE_f (raw)   -1.92 eV/f.u.
Magnetic moment   1.240 μB per atom